Material: ErCdInTe3
Method: DFT, PBE
State: relaxed

a b c (Å): 8.668 4.436 11.142
angles (deg): 90.00 107.18 90.00
Fractional coordinates of all 12 atoms:
1 Er 0.188 0.250 0.141
2 Er 0.812 0.750 0.859
3 Cd 0.424 0.750 0.388
4 Cd 0.576 0.250 0.612
5 In 0.242 0.750 0.719
6 In 0.758 0.250 0.281
7 Te 0.058 0.250 0.856
8 Te 0.240 0.250 0.441
9 Te 0.435 0.750 0.139
10 Te 0.565 0.250 0.861
11 Te 0.760 0.750 0.559
12 Te 0.942 0.750 0.144

Computed properties:
- Energy above the lowest structure with this stoichiometry: 0.008 eV/atom
- Crystal system: monoclinic
- Calculated density: 6.306 g/cm3
- Symmetry: P2_1/m, No. 11
- VASP energy: -44.06 eV/cell